! Cr3PdS (PBE, optimized geometry); values from VASP
! - relative energy among the computed polymorphs (meV per atom) = 792
! - uncorrected formation energy (eV per formula unit) = 6.192
! - total magnetic moment (μB/atom) = 2.684
! - uncorrected energy (eV per atom) = -6.3997
! - Fermi-level density of states (states/eV/f.u.) = 6.2
&SYSTEM
  ibrav = 0, nat = 5, ntyp = 3
/
ATOMIC_SPECIES
Cr 52.00 Cr.upf
S 32.06 S.upf
Pd 106.42 Pd.upf
CELL_PARAMETERS angstrom
4.859 0.000 0.000
0.000 4.859 0.000
0.000 0.000 4.859
ATOMIC_POSITIONS angstrom
Cr 0.000 2.430 0.000
Cr 0.000 0.000 2.430
Cr 2.430 0.000 0.000
S 2.430 2.430 2.430
Pd 0.000 0.000 0.000